The following is a PBE-GGA calculation of crystalline Ti2PdRu2 at its relaxed geometry, from Alexandria via LeMat-Bulk.

Lattice parameters (Å, degrees): 6.0660 6.0660 6.0660 141.63 141.63 55.39
With the nearest neighbours (Å) after each atom.
Fractional positions:
Ti (0.2500, 0.7500, 0.5000)  4 Ru 2.47
Ti (0.7500, 0.2500, 0.5000)  4 Ru 2.47
Pd (0.0000, 0.0000, 0.0000)  8 Ru 3.08, 8 Ti 3.34
Ru (0.3856, 0.3856, 0.0000)  1 Ru 2.46, 4 Ti 2.47
Ru (0.6144, 0.6144, 0.0000)  1 Ru 2.46, 4 Ti 2.47

ΔE to the lowest computed polymorph ... 2.20 eV per formula unit
DOS(E_F) ... 5.17 states/eV/cell
Energy of formation from the pure elements ... 0.45 eV/f.u.
Magnetization ... 0.0 μB per formula unit